## GdScAlAg (PBE)

Data for a relaxed GdScAlAg crystal.

Properties
formation energy: -0.32 eV per atom

a = 5.0342 Å, b = 5.0342 Å, c = 5.0342 Å
α = 60.00°, β = 60.00°, γ = 60.00°
Fractional coordinates of all 4 atoms:
Sc 0.5000 0.5000 0.5000
Gd 0.0000 0.0000 0.0000
Al 0.7500 0.7500 0.7500
Ag 0.2500 0.2500 0.2500

=====

## InSiRu2 (PBE)

Data for a relaxed InSiRu2 crystal.

Properties
E_form (uncorrected): -0.111 eV per atom

a = 3.1057 Å, b = 4.3666 Å, c = 4.3666 Å
α = 90.00°, β = 90.00°, γ = 90.00°
Fractional coordinates of all 4 atoms:
In 0.5000 0.0000 0.5000
Ru 0.0000 0.0000 0.0000
Ru 0.0000 0.5000 0.5000
Si 0.5000 0.5000 0.0000

=====

## ScHgSb (PBE)

Data for a relaxed ScHgSb crystal.

Properties
E above lowest polymorph: 23 meV/atom
E_form (uncorrected): -0.408 eV per atom

a = 7.2545 Å, b = 6.4204 Å, c = 9.8534 Å
α = 90.00°, β = 137.09°, γ = 90.00°
Fractional coordinates of all 12 atoms:
Sc 0.7509 0.5077 0.2264
Sc 0.2509 0.4923 0.7264
Sc 0.7509 0.0077 0.7264
Sc 0.2509 0.9923 0.2264
Hg 0.1248 0.8584 0.4861
Hg 0.6248 0.1416 0.9861
Hg 0.1248 0.3584 0.9861
Hg 0.6248 0.6416 0.4861
Sb 0.7813 0.2108 0.4704
Sb 0.2813 0.7892 0.9704
Sb 0.7813 0.7108 0.9704
Sb 0.2813 0.2892 0.4704

=====

## IrRu5 (PBE)

Data for a relaxed IrRu5 crystal.

Properties
formation energy: 0.05 eV per atom
E above lowest polymorph: 89 meV/atom

a = 6.0556 Å, b = 6.0556 Å, c = 3.8222 Å
α = 90.00°, β = 90.00°, γ = 143.10°
Fractional coordinates of all 6 atoms:
Ir 0.9722 0.0278 0.0000
Ru 0.8049 0.1951 0.5000
Ru 0.6396 0.3604 0.0000
Ru 0.4722 0.5278 0.5000
Ru 0.3049 0.6951 0.0000
Ru 0.1396 0.8604 0.5000

=====

## KMnSe (PBE)

Data for a relaxed KMnSe crystal.

Properties
E above lowest polymorph: 0 meV/atom
E_form (uncorrected): -0.364 eV per atom

a = 4.3463 Å, b = 4.3463 Å, c = 5.2016 Å
α = 90.00°, β = 90.00°, γ = 120.00°
Fractional coordinates of all 3 atoms:
K 0.0000 0.0000 0.0002
Mn 0.6667 0.3333 0.5001
Se 0.3333 0.6667 0.4997

=====

## PPb (PBE)

Data for a relaxed PPb crystal.

Properties
formation energy: 0.12 eV per atom

a = 6.0444 Å, b = 5.7831 Å, c = 13.1199 Å
α = 63.52°, β = 90.00°, γ = 90.00°
Fractional coordinates of all 16 atoms:
P 0.6476 0.1715 0.5776
P 0.8524 0.1715 0.0776
P 0.3524 0.8285 0.4224
P 0.1476 0.8285 0.9224
P 0.8524 0.3282 0.4224
P 0.6476 0.3282 0.9224
P 0.1476 0.6718 0.5776
P 0.3524 0.6718 0.0776
Pb 0.1141 0.1107 0.6387
Pb 0.3859 0.1107 0.1387
Pb 0.8859 0.8893 0.3613
Pb 0.6141 0.8893 0.8613
Pb 0.6141 0.6105 0.6387
Pb 0.8859 0.6105 0.1387
Pb 0.3859 0.3895 0.3613
Pb 0.1141 0.3895 0.8613

=====

## RbBa15Ca4 (PBE)

Data for a relaxed RbBa15Ca4 crystal.

Properties
formation energy: 0.04 eV per atom

a = 6.8673 Å, b = 6.8673 Å, c = 25.1904 Å
α = 90.00°, β = 90.00°, γ = 90.00°
Fractional coordinates of all 20 atoms:
Rb 0.0000 0.0000 0.0000
Ba 0.5000 0.5000 0.0000
Ba 0.5000 0.5000 0.2109
Ba 0.5000 0.5000 0.4036
Ba 0.5000 0.5000 0.5964
Ba 0.5000 0.5000 0.7891
Ba 0.5000 0.0000 0.1150
Ba 0.5000 0.0000 0.3074
Ba 0.5000 0.0000 0.5000
Ba 0.5000 0.0000 0.6926
Ba 0.5000 0.0000 0.8850
Ba 0.0000 0.5000 0.1150
Ba 0.0000 0.5000 0.3074
Ba 0.0000 0.5000 0.5000
Ba 0.0000 0.5000 0.6926
Ba 0.0000 0.5000 0.8850
Ca 0.0000 0.0000 0.2143
Ca 0.0000 0.0000 0.4034
Ca 0.0000 0.0000 0.5966
Ca 0.0000 0.0000 0.7857

=====

## BeBrCl3 (PBE)

Data for a relaxed BeBrCl3 crystal.

Properties
E above lowest polymorph: 0 meV/atom
E_form (uncorrected): -0.197 eV per atom

a = 4.6230 Å, b = 4.6230 Å, c = 4.6230 Å
α = 90.00°, β = 90.00°, γ = 90.00°
Fractional coordinates of all 5 atoms:
Be 0.0000 0.0000 0.0000
Br 0.5000 0.5000 0.5000
Cl 0.0000 0.5000 0.0000
Cl 0.0000 0.0000 0.5000
Cl 0.5000 0.0000 0.0000

=====

## PmTlBi (PBE)

Data for a relaxed PmTlBi crystal.

Properties
formation energy: -0.30 eV per atom
E above lowest polymorph: 31 meV/atom

a = 5.4840 Å, b = 5.4840 Å, c = 8.7849 Å
α = 71.81°, β = 71.81°, γ = 60.00°
Fractional coordinates of all 6 atoms:
Bi 0.0932 0.0932 0.7204
Bi 0.9068 0.9068 0.2796
Tl 0.6394 0.6394 0.0818
Tl 0.3606 0.3606 0.9182
Pm 0.2243 0.2243 0.3271
Pm 0.7757 0.7757 0.6729

=====

## BiSb3Ir (PBE)

Data for a relaxed BiSb3Ir crystal.

Properties
E above lowest polymorph: 1490 meV/atom
E_form (uncorrected): 1.878 eV per atom

a = 5.6574 Å, b = 5.6574 Å, c = 5.6574 Å
α = 90.00°, β = 90.00°, γ = 90.00°
Fractional coordinates of all 5 atoms:
Sb 0.0000 0.5000 0.0000
Sb 0.0000 0.0000 0.5000
Sb 0.5000 0.0000 0.0000
Ir 0.5000 0.5000 0.5000
Bi 0.0000 0.0000 0.0000

=====

What did we get for electronic total energy? Answer: -7.073; -6.789; -3.993; -9.156; -4.948; -4.435; -1.849; -2.384; -3.964; -3.143 eV/atom, in the order shown.